Here is PuThPa4 after structural relaxation from Alexandria. Energies are from PBE.

DFT formation energy in eV per atom: 0.199
Volume in Å³/atom: 26.57

Cell and atoms, written as POSCAR:
```
PuThPa4
1.0
6.086 0.000 0.000
3.043 5.271 0.000
3.043 1.757 4.969
Pa Th Pu
4 1 1
direct
0.625 0.625 0.126
0.625 0.126 0.625
0.625 0.625 0.625
0.126 0.625 0.625
0.250 0.250 0.250
0.000 0.000 0.000
```



Here is TbSm2Tl after structural relaxation from Alexandria. Energies are from PBE.

DFT formation energy in eV per atom: -0.163
Polymorph energy (0 for the lowest one) in meV/atom: 30
Volume in Å³/atom: 31.20

Cell and atoms, written as POSCAR:
```
TbSm2Tl
1.0
3.696 0.000 -1.219
-0.718 4.905 -2.176
0.193 0.054 6.795
Tb Sm Tl
1 2 1
direct
0.500 0.500 0.000
0.278 0.778 0.557
0.722 0.222 0.443
0.000 0.000 0.000
```



Here is Si3NiRh after structural relaxation from Alexandria. Energies are from PBE.

Polymorph energy (0 for the lowest one) in meV/atom: 0
Volume in Å³/atom: 15.91

Cell and atoms, written as POSCAR:
```
Si3NiRh
1.0
4.301 0.000 0.000
0.000 4.301 0.000
0.000 0.000 4.301
Ni Si Rh
1 3 1
direct
0.000 0.000 0.000
0.000 0.500 0.000
0.000 0.000 0.500
0.500 0.000 0.000
0.500 0.500 0.500
```



Here is ZnFeP2 after structural relaxation from Alexandria. Energies are from PBE.

DFT formation energy in eV per atom: 0.170
Volume in Å³/atom: 13.64

Cell and atoms, written as POSCAR:
```
ZnFeP2
1.0
-4.456 -2.060 -5.305
-4.772 -4.289 -3.329
-6.340 -1.758 -2.995
Fe P Zn
1 2 1
direct
0.739 0.739 0.739
0.003 0.003 0.003
0.259 0.259 0.259
0.498 0.498 0.498
```



> Which of these has the lowest volume?

ZnFeP2



> What is the volume in the first record?

26.57 Å³/atom



> volume of number 2 (TbSm2Tl)?

31.20 Å³/atom



> Look up the volume of the second one.

31.20 Å³/atom